[1]
This record from Alexandria describes crystalline Mn2AgW at its relaxed geometry. The functional is PBE.

Results
E above lowest polymorph ... 0.08 eV/f.u.
Energy relative to the elements ... 0.343 eV/atom
SG ... Cmm2, No. 35

abc: 2.6980 2.6980 7.9949
angles: 90.00 90.00 90.39
Last column: magnetic moment on the atom in μB.
Fractional coordinates of all 4 atoms:
1 Mn 0.0000 0.0000 0.0332  2.97
2 Mn 0.5000 0.5000 0.2308  -1.65
3 W 0.0000 0.0000 0.4742  0.06
4 Ag 0.5000 0.5000 0.7618  0.03



[2]
This record from Alexandria describes crystalline KUS4 at its relaxed geometry. The functional is PBE.

Results
SG ... C2/m, No. 12

abc: 7.3483 7.3102 8.2565
angles: 116.28 89.30 90.00
Last column: magnetic moment on the atom in μB.
Fractional coordinates of all 12 atoms:
1 S 0.2074 0.6991 0.3982  -0.06
2 S 0.0000 0.7338 0.0000  -0.05
3 S 0.4816 0.6790 0.8614  -0.04
4 S 0.5184 0.8176 0.1386  -0.04
5 S 0.7926 0.3009 0.6018  -0.06
6 S 0.0000 0.2662 0.0000  -0.05
7 S 0.5184 0.3210 0.1386  -0.04
8 S 0.4816 0.1824 0.8614  -0.04
9 U 0.7422 0.4644 0.9287  1.19
10 U 0.2578 0.5356 0.0713  1.19
11 K 0.8653 0.8319 0.6638  0.00
12 K 0.1347 0.1681 0.3362  0.00



[3]
This record from Alexandria describes crystalline Sr8N3O at its relaxed geometry. The functional is PBE.

Results
SG ... P6_3mc, No. 186

abc: 7.7492 7.7492 13.0715
angles: 90.00 90.00 120.00
Fractional coordinates of all 24 atoms:
1 Sr 0.5166 0.0331 0.8369
2 Sr 0.0000 0.0000 0.3167
3 Sr 0.3259 0.1629 0.1055
4 Sr 0.1629 0.8371 0.6055
5 Sr 0.4834 0.9669 0.3369
6 Sr 0.8371 0.6741 0.1055
7 Sr 0.5166 0.4834 0.8369
8 Sr 0.8371 0.1629 0.1055
9 Sr 0.0331 0.5166 0.3369
10 Sr 0.9669 0.4834 0.8369
11 Sr 0.1629 0.3259 0.6055
12 Sr 0.4834 0.5166 0.3369
13 Sr 0.6667 0.3333 0.6133
14 Sr 0.6741 0.8371 0.6055
15 Sr 0.3333 0.6667 0.1133
16 Sr 0.0000 0.0000 0.8167
17 O 0.3333 0.6667 0.4560
18 O 0.6667 0.3333 0.9560
19 N 0.8334 0.6667 0.7146
20 N 0.3333 0.1666 0.7146
21 N 0.1666 0.8334 0.2146
22 N 0.8334 0.1666 0.7146
23 N 0.6667 0.8334 0.2146
24 N 0.1666 0.3333 0.2146



[4]
This record from Alexandria describes crystalline MnPSeSN at its relaxed geometry. The functional is PBE.

Results
E above lowest polymorph ... 0.95 eV/f.u.
SG ... Cm, No. 8

abc: 7.9299 2.5732 9.9423
angles: 90.00 114.31 90.00
Fractional coordinates of all 10 atoms:
1 N 0.8185 0.0000 0.1231
2 N 0.8185 0.5000 0.6231
3 Mn 0.8457 0.5000 0.9975
4 Mn 0.8457 0.0000 0.4975
5 Se 0.4931 0.5000 0.8679
6 Se 0.4931 0.0000 0.3679
7 P 0.7119 0.5000 0.7354
8 P 0.7119 0.0000 0.2354
9 S 0.0755 0.0000 0.0049
10 S 0.0755 0.5000 0.5049



no.,magnetic moment (μB/f.u.),E (eV per atom)
1,1.5,-8.193
2,1.0,-5.859
3,1.0,-4.392
4,0.0,-6.032